1.
Here is an optimized crystal structure of AcMgPb from Alexandria via LeMat-Bulk. Energies are from PBE-GGA.

abc: 3.8776 3.8776 6.9376
angles: 106.23 106.23 90.00
Closest atoms and distances in Å follow each position.
Positions (direct):
Pb  0.6906  0.6906  0.3811  4 Mg 3.15
Ac  0.9970  0.9970  0.9940  5 Mg 3.61-4.02, 5 Pb 3.69-3.91, 4 Ac 3.88
Mg  0.3124  0.3124  0.6248  4 Pb 3.15

Results
The formation energy is -0.66 eV/f.u. The offset from the most stable computed form comes out at 207 meV/atom. The space-group type is I4mm, No. 107.

2.
Here is an optimized crystal structure of Ac2MgPb from Alexandria via LeMat-Bulk. Energies are from PBE-GGA.

abc: 5.8506 5.8508 5.8508
angles: 60.00 60.00 60.00
Closest atoms and distances in Å follow each position.
Positions (direct):
Pb  0.7500  0.7500  0.7500  8 Ac 3.58
Ac  0.5000  0.5000  0.5000  4 Mg 3.58, 4 Pb 3.58
Ac  0.0000  0.0000  0.0000  4 Mg 3.58, 4 Pb 3.58
Mg  0.2500  0.2500  0.2500  8 Ac 3.58

Results
The formation energy is -1.11 eV/f.u. The space-group type is Fm-3m, No. 225.

3.
Here is an optimized crystal structure of Ac2MgPb from Alexandria via LeMat-Bulk. Energies are from PBE-GGA.

abc: 4.7656 6.8068 9.7415
angles: 110.72 90.00 90.00
Closest atoms and distances in Å follow each position.
Positions (direct):
Ac  0.7500  0.2044  0.4188  4 Pb 3.47-3.69, 3 Mg 3.51-3.70
Ac  0.2500  0.7956  0.5812  4 Pb 3.47-3.69, 3 Mg 3.51-3.70
Ac  0.2500  0.7865  0.0662  4 Mg 3.52-3.71, 3 Pb 3.58-3.76
Ac  0.7500  0.2135  0.9338  4 Mg 3.52-3.71, 3 Pb 3.58-3.76
Mg  0.2500  0.3696  0.2174  2 Pb 3.01
Mg  0.7500  0.6304  0.7826  2 Pb 3.01
Pb  0.7500  0.6594  0.2967  2 Mg 3.01
Pb  0.2500  0.3406  0.7033  2 Mg 3.01

Results
The formation energy is -1.14 eV/f.u. The space-group type is P2_1/m, No. 11.

4.
Here is an optimized crystal structure of Ac2MgPb9 from Alexandria via LeMat-Bulk. Energies are from PBE-GGA.

abc: 5.0379 5.0379 14.8167
angles: 90.00 90.00 90.00
Closest atoms and distances in Å follow each position.
Positions (direct):
Ac  0.0000  0.0000  0.3330  12 Pb 3.53-3.68
Ac  0.0000  0.0000  0.6670  12 Pb 3.53-3.68
Mg  0.0000  0.0000  0.0000  12 Pb 3.38-3.56
Pb  0.5000  0.5000  0.0000  8 Pb 3.38, 4 Mg 3.56
Pb  0.5000  0.5000  0.3266  4 Ac 3.56, 8 Pb 3.60-3.61
Pb  0.5000  0.5000  0.6734  4 Ac 3.56, 8 Pb 3.60-3.61
Pb  0.5000  0.0000  0.1524  8 Pb 3.38-3.61, 2 Mg 3.38, 2 Ac 3.68
Pb  0.5000  0.0000  0.5000  4 Ac 3.53, 8 Pb 3.56-3.60
Pb  0.5000  0.0000  0.8476  8 Pb 3.38-3.61, 2 Mg 3.38, 2 Ac 3.68
Pb  0.0000  0.5000  0.1524  2 Mg 3.38, 8 Pb 3.38-3.61, 2 Ac 3.68
Pb  0.0000  0.5000  0.5000  4 Ac 3.53, 8 Pb 3.56-3.60
Pb  0.0000  0.5000  0.8476  8 Pb 3.38-3.61, 2 Mg 3.38, 2 Ac 3.68

Results
The formation energy is -3.09 eV/f.u. The space-group type is P4/mmm, No. 123.

5.
Here is an optimized crystal structure of Ac4Mg4Pb7 from Alexandria via LeMat-Bulk. Energies are from PBE-GGA.

abc: 6.7144 12.2454 12.2454
angles: 85.69 74.09 74.09
Closest atoms and distances in Å follow each position.
Positions (direct):
Ac  0.8610  0.2780  0.0000  7 Pb 3.40-3.70
Ac  0.1390  0.7220  0.0000  7 Pb 3.40-3.70
Ac  0.1390  0.0000  0.7220  7 Pb 3.40-3.70
Ac  0.8610  0.0000  0.2780  7 Pb 3.40-3.70
Ac  0.5000  0.8036  0.1964  7 Pb 3.40-3.69
Ac  0.5000  0.1964  0.8036  7 Pb 3.40-3.69
Ac  0.3036  0.1964  0.1964  7 Pb 3.40-3.69
Ac  0.6964  0.8036  0.8036  7 Pb 3.40-3.69
Mg  0.0972  0.8056  0.5000  6 Pb 3.04-3.22, 2 Mg 3.36
Mg  0.4028  0.1944  0.5000  6 Pb 3.04-3.22, 2 Mg 3.36
Mg  0.4028  0.5000  0.1944  6 Pb 3.04-3.22, 2 Mg 3.36
Mg  0.0972  0.5000  0.8056  6 Pb 3.04-3.22, 2 Mg 3.36
Mg  0.9028  0.5000  0.1944  6 Pb 3.04-3.22, 2 Mg 3.36
Mg  0.5972  0.5000  0.8056  6 Pb 3.04-3.22, 2 Mg 3.36
Mg  0.5972  0.8056  0.5000  6 Pb 3.04-3.22, 2 Mg 3.36
Mg  0.9028  0.1944  0.5000  6 Pb 3.04-3.22, 2 Mg 3.36
Pb  0.5000  0.5902  0.4098  1 Pb 3.00, 4 Mg 3.22
Pb  0.5000  0.4098  0.5902  1 Pb 3.00, 4 Mg 3.22
Pb  0.0902  0.4098  0.4098  1 Pb 3.00, 4 Mg 3.22
Pb  0.9098  0.5902  0.5902  1 Pb 3.00, 4 Mg 3.22
Pb  0.7492  0.0000  0.0000  2 Pb 3.35-3.37, 8 Ac 3.67-3.68
Pb  0.2508  0.0000  0.0000  2 Pb 3.35-3.37, 8 Ac 3.67-3.68
Pb  0.7037  0.5925  0.0000  4 Mg 3.04, 2 Ac 3.40
Pb  0.2963  0.4075  0.0000  4 Mg 3.04, 2 Ac 3.40
Pb  0.2963  0.0000  0.4075  4 Mg 3.04, 2 Ac 3.40
Pb  0.7037  0.0000  0.5925  4 Mg 3.04, 2 Ac 3.40
Pb  0.0000  0.2887  0.7113  4 Mg 3.20, 2 Ac 3.40
Pb  0.0000  0.7113  0.2887  4 Mg 3.20, 2 Ac 3.40
Pb  0.2887  0.7113  0.7113  4 Mg 3.20, 2 Ac 3.40
Pb  0.7113  0.2887  0.2887  4 Mg 3.20, 2 Ac 3.40

Results
The formation energy is -5.48 eV/f.u. The space-group type is I4/mmm, No. 139.

6.
Here is an optimized crystal structure of AcMg5Pb3 from Alexandria via LeMat-Bulk. Energies are from PBE-GGA.

abc: 4.8305 8.4156 13.4589
angles: 90.00 90.00 106.68
Closest atoms and distances in Å follow each position.
Positions (direct):
Ac  0.8835  0.7670  0.7500  5 Pb 3.48-3.61, 2 Mg 3.85
Ac  0.1165  0.2330  0.2500  5 Pb 3.48-3.61, 2 Mg 3.85
Mg  0.8082  0.6165  0.4475  4 Pb 2.94-3.07, 1 Mg 3.17
Mg  0.1918  0.3835  0.9475  4 Pb 2.94-3.07, 1 Mg 3.17
Mg  0.0000  0.0000  0.5000  6 Mg 3.16-3.17, 4 Pb 3.27
Mg  0.0000  0.0000  0.0000  6 Mg 3.16-3.17, 4 Pb 3.27
Mg  0.4480  0.8960  0.1383  4 Pb 2.98-3.04, 3 Mg 3.01-3.16
Mg  0.5520  0.1040  0.8617  4 Pb 2.98-3.04, 3 Mg 3.01-3.16
Mg  0.5520  0.1040  0.6383  4 Pb 2.98-3.04, 3 Mg 3.01-3.16
Mg  0.8082  0.6165  0.0525  4 Pb 2.94-3.07, 1 Mg 3.17
Mg  0.1918  0.3835  0.5525  4 Pb 2.94-3.07, 1 Mg 3.17
Mg  0.4480  0.8960  0.3617  4 Pb 2.98-3.04, 3 Mg 3.01-3.16
Pb  0.3740  0.7479  0.9354  7 Mg 2.94-3.27
Pb  0.8929  0.7858  0.2500  6 Mg 2.98-2.99
Pb  0.3740  0.7479  0.5646  7 Mg 2.94-3.27
Pb  0.6260  0.2521  0.4354  7 Mg 2.94-3.27
Pb  0.1071  0.2142  0.7500  6 Mg 2.98-2.99
Pb  0.6260  0.2521  0.0646  7 Mg 2.94-3.27

Results
The formation energy is -1.39 eV/f.u. The space-group type is Cmcm, No. 63.

Question: Which of these has the lowest formation energy?
Answer: Ac4Mg4Pb7

Question: The highest formation energy belongs to which entry?
Answer: AcMgPb